# 1
# Pm7Ga2O2, optimized geometry, DFT PBE-GGA
data_Pm7Ga2O2
_chemical_formula_sum 'Pm14 Ga4 O4'
_cell_length_a 11.198
_cell_length_b 7.621
_cell_length_c 6.351
_cell_angle_alpha 90.00
_cell_angle_beta 95.09
_cell_angle_gamma 90.00
_symmetry_space_group_name_H-M 'C 1 2/m 1'
_symmetry_Int_Tables_number 12
loop_
_symmetry_equiv_pos_as_xyz
'x,y,z'
'-x,-y,-z'
'-x,y,-z'
'x,-y,z'
'x+1/2,y+1/2,z'
'-x+1/2,-y+1/2,-z'
'-x+1/2,y+1/2,-z'
'x+1/2,-y+1/2,z'
loop_
_atom_site_label
_atom_site_fract_x
_atom_site_fract_y
_atom_site_fract_z
Pm1 0.000 0.000 0.000
Pm2 0.063 0.500 0.772
Pm3 0.218 0.280 0.236
Ga1 0.000 0.166 0.500
O1 0.223 0.000 0.029
# DOS at the Fermi energy   19.3 states/eV per cell
# E_tot   -5.51 eV per atom

---

# 2
# Ba2CaFe, optimized geometry, DFT PBE-GGA
data_Ba2CaFe
_chemical_formula_sum 'Ba2 Ca1 Fe1'
_cell_length_a 4.023
_cell_length_b 4.023
_cell_length_c 10.083
_cell_angle_alpha 90.00
_cell_angle_beta 90.00
_cell_angle_gamma 90.00
_symmetry_space_group_name_H-M 'P 4/m m m'
_symmetry_Int_Tables_number 123
_symmetry_space_group_name_Hall '-P 4 2'
loop_
_atom_site_label
_atom_site_fract_x
_atom_site_fract_y
_atom_site_fract_z
Ba1 0.000 0.000 0.187
Ca1 0.500 0.500 0.500
Fe1 0.500 0.500 0.000
# Energy relative to the elements   0.444 eV per atom
# DOS at the Fermi energy   7.5 states/eV per cell
# Excess energy over the best structure of this formula in the dataset   21 meV/atom
# E_tot   -3.13 eV per atom

---

# 3
# Pu3InAu3, optimized geometry, DFT PBE-GGA
data_Pu3InAu3
_chemical_formula_sum 'Pu6 In2 Au6'
_cell_length_a 8.512
_cell_length_b 5.105
_cell_length_c 8.710
_cell_angle_alpha 90.00
_cell_angle_beta 119.20
_cell_angle_gamma 90.00
_symmetry_space_group_name_H-M 'P 1 21/m 1'
_symmetry_Int_Tables_number 11
loop_
_symmetry_equiv_pos_as_xyz
'x,y,z'
'-x,-y,-z'
'-x,y+1/2,-z'
'x,-y+1/2,z'
loop_
_atom_site_label
_atom_site_fract_x
_atom_site_fract_y
_atom_site_fract_z
Pu1 0.060 0.250 0.138
Pu2 0.126 0.750 0.575
Pu3 0.419 0.750 0.053
In1 0.163 0.250 0.829
Au1 0.280 0.750 0.315
Au2 0.310 0.250 0.536
Au3 0.470 0.250 0.272
# Energy relative to the elements   -0.214 eV per atom
# DOS at the Fermi energy   53.7 states/eV per cell
# E_tot   -8.15 eV per atom

---

# 4
# NaSmCl2, optimized geometry, DFT PBE-GGA
data_NaSmCl2
_chemical_formula_sum 'Na3 Sm3 Cl6'
_cell_length_a 3.6933
_cell_length_b 3.6933
_cell_length_c 29.1754
_cell_angle_alpha 90.00
_cell_angle_beta 90.00
_cell_angle_gamma 120.00
_symmetry_space_group_name_H-M 'R -3 m'
_symmetry_Int_Tables_number 166
_symmetry_space_group_name_Hall '-R 3 2"'
loop_
_atom_site_label
_atom_site_fract_x
_atom_site_fract_y
_atom_site_fract_z
Na1 0.0000 0.0000 0.0000
Sm1 0.0000 0.0000 0.5000
Cl1 0.0000 0.0000 0.1017
# DOS at the Fermi energy   7.1 states/eV per cell
# E_tot   -3.87 eV per atom

---

Here are the calculated calculated volume numbers, same order: 24.54, 40.79, 23.60, 28.72 (A^3/atom).